The following is a DFT calculation (PBE+U) of a relaxed LaAgMoO5 crystal.

Output
E ... -6.87 eV per atom

Cell lengths 9.1110, 9.3545, 8.7335 Å; angles 90.00, 118.91, 90.00 degrees
Last column: nearest neighbours and their distance in Å.
Space group C2/c (No. 15)
One atom of each set of equivalent atoms:
La 0.0000 0.0000 0.0000 x4  6 O 2.29-2.52
Ag 0.0000 0.3012 0.2500 x4  1 O 2.13
Mo 0.0000 0.3702 0.7500 x4  4 O 1.79-1.81
O 0.0000 0.0739 0.2500 x4  1 Ag 2.13, 2 La 2.29
O 0.0008 0.2580 0.5845 x8  1 Mo 1.79
O 0.1848 0.4829 0.8444 x8  1 Mo 1.81